# 1
# CePrTe2

CePrTe2 after structural relaxation (GGA-PBE, Alexandria).

a b c (Å): 4.4938 4.4938 22.2853
angles (deg): 90.00 90.00 120.00
Fractional coordinates of all 12 atoms:
Ce  0.0000  0.0000  0.0000
Ce  0.3333  0.6667  0.6667
Ce  0.6667  0.3333  0.3333
Pr  0.0000  0.0000  0.5000
Pr  0.3333  0.6667  0.1667
Pr  0.6667  0.3333  0.8333
Te  0.0000  0.0000  0.2510
Te  0.0000  0.0000  0.7490
Te  0.3333  0.6667  0.4157
Te  0.3333  0.6667  0.9177
Te  0.6667  0.3333  0.0823
Te  0.6667  0.3333  0.5843

Values from the calculation:
**Formation energy (no corrections)**: -1.411 eV per atom
**V**: 32.48 Å³/atom
**Calculated total energy**: -67.93 eV/cell
**Offset from the most stable computed form**: 0 meV/atom
**D(E_F)**: 7.858 states/eV/f.u.


# 2
# TaCo2Hg

TaCo2Hg after structural relaxation (GGA-PBE, Alexandria).

a b c (Å): 6.7870 6.7870 5.6280
angles (deg): 90.00 90.00 90.00
Fractional coordinates of all 16 atoms:
Ta  0.0000  0.0000  0.0000
Ta  0.0000  0.5000  0.2500
Ta  0.5000  0.0000  0.7500
Ta  0.5000  0.5000  0.5000
Co  0.2205  0.2500  0.1250
Co  0.2500  0.7205  0.3750
Co  0.2500  0.7795  0.8750
Co  0.2795  0.2500  0.6250
Co  0.7205  0.7500  0.6250
Co  0.7500  0.2205  0.8750
Co  0.7500  0.2795  0.3750
Co  0.7795  0.7500  0.1250
Hg  0.0000  0.0000  0.5000
Hg  0.0000  0.5000  0.7500
Hg  0.5000  0.0000  0.2500
Hg  0.5000  0.5000  0.0000

Values from the calculation:
**V**: 16.20 Å³/atom
**DFT formation energy**: 0.5679 eV per atom
**Calculated total energy**: -96.38 eV/cell
**D(E_F)**: 2.316 states/eV/f.u.


# 3
# MgBe4

MgBe4 after structural relaxation (GGA-PBE, Alexandria).

a b c (Å): 5.3046 5.3046 3.7892
angles (deg): 90.00 90.00 90.00
Fractional coordinates of all 10 atoms:
Mg  0.0000  0.0000  0.0000
Mg  0.5000  0.5000  0.5000
Be  0.0000  0.3123  0.5000
Be  0.0000  0.6877  0.5000
Be  0.1877  0.5000  0.0000
Be  0.3123  0.0000  0.5000
Be  0.5000  0.1877  0.0000
Be  0.5000  0.8123  0.0000
Be  0.6877  0.0000  0.5000
Be  0.8123  0.5000  0.0000

Values from the calculation:
**V**: 10.66 Å³/atom
**DFT formation energy**: 0.2835 eV per atom
**Calculated total energy**: -30.16 eV/cell
**Offset from the most stable computed form**: 0 meV/atom
**D(E_F)**: 0.834 states/eV/f.u.


| no. | M_tot (μB per cell) |
| --- | --- |
| 1 | 3.46 |
| 2 | 0.00 |
| 3 | 0.00 |